Sc4ZnGa2Hg | PBE | relaxed Values from VASP.

Quantum ESPRESSO input file:
```
&SYSTEM
  ibrav = 0, nat = 8, ntyp = 4
/
ATOMIC_SPECIES
Sc 44.96 Sc.upf
Ga 69.72 Ga.upf
Hg 200.59 Hg.upf
Zn 65.41 Zn.upf
ATOMIC_POSITIONS angstrom
Sc -5.275 -0.258 2.001
Sc -7.703 0.027 4.355
Sc -2.005 1.123 5.095
Sc -4.433 1.408 7.449
Ga -2.425 0.293 2.379
Ga -7.284 0.858 7.071
Hg 0.000 0.000 0.000
Zn -4.854 0.575 4.725
CELL_PARAMETERS angstrom
-4.427 1.867 0.113
-3.715 -2.708 1.402
-1.566 1.991 7.935
```

## Properties
Space group: No. 166
Volume in Å³ per cell: 157.11
E_tot in Ha/atom: -0.1698